# 1
Compound: Pr8CoPb2
Source: the Alexandria database
Functional: PBE
Structure: relaxed

Structure (POSCAR):
```
Pr8CoPb2
1.0
-3.812 -3.535 -1.875
4.918 -3.494 -3.411
0.516 -1.533 9.982
Pr Co Pb
8 1 2
direct
0.413 0.577 0.826 Pr
0.641 0.966 0.282 Pr
0.785 0.700 0.569 Pr
0.994 0.220 0.987 Pr
0.215 0.300 0.431 Pr
0.359 0.034 0.718 Pr
0.587 0.423 0.174 Pr
0.006 0.780 0.013 Pr
0.500 0.000 0.000 Co
0.829 0.281 0.659 Pb
0.171 0.719 0.341 Pb
```

Values from the calculation:
SG: No. 12
Mass density, Mg/m³: 7.740

***

# 2
Compound: InMoP2
Source: the Alexandria database
Functional: PBE
Structure: relaxed

Structure (POSCAR):
```
InMoP2
1.0
-1.478 -3.223 4.574
-3.833 -2.862 -3.256
1.319 -6.808 -0.710
P Mo In
4 2 2
direct
0.579 0.125 0.250 P
0.171 0.625 0.250 P
0.375 0.421 0.750 P
0.875 0.829 0.750 P
0.500 0.500 0.000 Mo
0.250 0.750 0.500 Mo
0.000 0.000 0.000 In
0.750 0.250 0.500 In
```

Values from the calculation:
SG: No. 122
Mass density, Mg/m³: 4.792

***

# 3
Compound: Hf2Ge4W
Source: the Alexandria database
Functional: PBE
Structure: relaxed

Structure (POSCAR):
```
Hf2Ge4W
1.0
4.850 0.000 0.000
0.000 4.850 0.000
2.425 2.425 6.619
Ge Hf W
4 2 1
direct
0.193 0.193 0.614 Ge
0.807 0.807 0.386 Ge
0.000 0.500 0.000 Ge
0.500 0.000 0.000 Ge
0.391 0.391 0.217 Hf
0.609 0.609 0.783 Hf
0.000 0.000 0.000 W
```

Values from the calculation:
SG: No. 139
Mass density, Mg/m³: 8.868

***

| no. | E (eV per atom) |
| --- | --- |
| 1 | -4.99 |
| 2 | -5.97 |
| 3 | -7.00 |